(1)
{"formula": "Sr2VCr", "functional": "PBE", "state": "optimized geometry", "lattice_angstrom": [[8.821, 0.000, 0.000], [0.000, 8.821, 0.000], [0.000, 0.000, 6.885]], "species": ["Sr", "Sr", "Sr", "Sr", "Sr", "Sr", "Sr", "Sr", "V", "V", "V", "V", "Cr", "Cr", "Cr", "Cr"], "fractional_positions": [[0.246, 0.750, 0.125], [0.250, 0.246, 0.875], [0.250, 0.254, 0.375], [0.254, 0.750, 0.625], [0.746, 0.250, 0.625], [0.750, 0.746, 0.375], [0.750, 0.754, 0.875], [0.754, 0.250, 0.125], [0.000, 0.000, 0.500], [0.000, 0.500, 0.750], [0.500, 0.000, 0.250], [0.500, 0.500, 0.000], [0.000, 0.000, 0.000], [0.000, 0.500, 0.250], [0.500, 0.000, 0.750], [0.500, 0.500, 0.500]], "magnetic_moment_mub_per_cell": 36.068, "space_group": "No. 122", "ef_mev_per_atom": 1202, "final_energy_ry_per_atom": -0.318}

---

(2)
{"formula": "Sr2VCr", "functional": "PBE", "state": "optimized geometry", "lattice_angstrom": [[8.021, 0.000, 0.000], [0.000, 8.021, 0.000], [0.000, 0.000, 8.021]], "species": ["Sr", "Sr", "Sr", "Sr", "Sr", "Sr", "Sr", "Sr", "V", "V", "V", "V", "Cr", "Cr", "Cr", "Cr"], "fractional_positions": [[0.250, 0.250, 0.250], [0.250, 0.250, 0.750], [0.250, 0.750, 0.250], [0.250, 0.750, 0.750], [0.750, 0.250, 0.250], [0.750, 0.250, 0.750], [0.750, 0.750, 0.250], [0.750, 0.750, 0.750], [0.000, 0.000, 0.000], [0.000, 0.500, 0.500], [0.500, 0.000, 0.500], [0.500, 0.500, 0.000], [0.000, 0.000, 0.500], [0.000, 0.500, 0.000], [0.500, 0.000, 0.000], [0.500, 0.500, 0.500]], "magnetic_moment_mub_per_cell": 36.994, "space_group": "No. 225", "ef_mev_per_atom": 927, "final_energy_ry_per_atom": -0.338}

---

(3)
{"formula": "SrV3Cr", "functional": "PBE", "state": "optimized geometry", "lattice_angstrom": [[4.658, 0.000, 0.000], [0.000, 4.658, 0.000], [0.000, 0.000, 4.658]], "species": ["Sr", "V", "V", "V", "Cr"], "fractional_positions": [[0.000, 0.000, 0.000], [0.000, 0.500, 0.500], [0.500, 0.000, 0.500], [0.500, 0.500, 0.000], [0.500, 0.500, 0.500]], "magnetic_moment_mub_per_cell": 4.843, "space_group": "No. 221", "ef_mev_per_atom": 876, "final_energy_ry_per_atom": -0.504}

---

(4)
{"formula": "Sr3VCr", "functional": "PBE", "state": "optimized geometry", "lattice_angstrom": [[6.143, 0.000, 0.000], [0.000, 6.143, 0.000], [0.000, 0.000, 6.143]], "species": ["Sr", "Sr", "Sr", "V", "Cr"], "fractional_positions": [[0.000, 0.000, 0.500], [0.000, 0.500, 0.000], [0.500, 0.000, 0.000], [0.000, 0.000, 0.000], [0.500, 0.500, 0.500]], "magnetic_moment_mub_per_cell": 10.379, "space_group": "No. 221", "ef_mev_per_atom": 1086, "final_energy_ry_per_atom": -0.270}

---

(5)
{"formula": "SrVCrW2", "functional": "PBE", "state": "optimized geometry", "lattice_angstrom": [[4.560, 0.000, 0.000], [0.000, 4.560, 0.000], [0.000, 0.000, 5.242]], "species": ["Sr", "V", "Cr", "W", "W"], "fractional_positions": [[0.000, 0.000, 0.000], [0.000, 0.000, 0.500], [0.500, 0.500, 0.000], [0.000, 0.500, 0.500], [0.500, 0.000, 0.500]], "magnetic_moment_mub_per_cell": 0.377, "space_group": "No. 123", "ef_mev_per_atom": 2134, "final_energy_ry_per_atom": -0.524}

---

(6)
{"formula": "SrCrW2", "functional": "PBE", "state": "optimized geometry", "lattice_angstrom": [[3.934, 0.000, 0.000], [0.000, 3.934, 0.000], [0.000, 0.000, 10.049]], "species": ["Sr", "Sr", "Cr", "Cr", "W", "W", "W", "W"], "fractional_positions": [[0.000, 0.000, 0.000], [0.500, 0.500, 0.500], [0.000, 0.000, 0.500], [0.500, 0.500, 0.000], [0.000, 0.500, 0.250], [0.000, 0.500, 0.750], [0.500, 0.000, 0.250], [0.500, 0.000, 0.750]], "magnetic_moment_mub_per_cell": 6.337, "space_group": "No. 139", "ef_mev_per_atom": 1294, "final_energy_ry_per_atom": -0.589}

---

What did the second record say?
{"formula": "Sr2VCr", "functional": "PBE", "state": "optimized geometry", "lattice_angstrom": [[8.021, 0.000, 0.000], [0.000, 8.021, 0.000], [0.000, 0.000, 8.021]], "species": ["Sr", "Sr", "Sr", "Sr", "Sr", "Sr", "Sr", "Sr", "V", "V", "V", "V", "Cr", "Cr", "Cr", "Cr"], "fractional_positions": [[0.250, 0.250, 0.250], [0.250, 0.250, 0.750], [0.250, 0.750, 0.250], [0.250, 0.750, 0.750], [0.750, 0.250, 0.250], [0.750, 0.250, 0.750], [0.750, 0.750, 0.250], [0.750, 0.750, 0.750], [0.000, 0.000, 0.000], [0.000, 0.500, 0.500], [0.500, 0.000, 0.500], [0.500, 0.500, 0.000], [0.000, 0.000, 0.500], [0.000, 0.500, 0.000], [0.500, 0.000, 0.000], [0.500, 0.500, 0.500]], "magnetic_moment_mub_per_cell": 36.994, "space_group": "No. 225", "ef_mev_per_atom": 927, "final_energy_ry_per_atom": -0.338}

---

Please write out number 5 again, unchanged.
{"formula": "SrVCrW2", "functional": "PBE", "state": "optimized geometry", "lattice_angstrom": [[4.560, 0.000, 0.000], [0.000, 4.560, 0.000], [0.000, 0.000, 5.242]], "species": ["Sr", "V", "Cr", "W", "W"], "fractional_positions": [[0.000, 0.000, 0.000], [0.000, 0.000, 0.500], [0.500, 0.500, 0.000], [0.000, 0.500, 0.500], [0.500, 0.000, 0.500]], "magnetic_moment_mub_per_cell": 0.377, "space_group": "No. 123", "ef_mev_per_atom": 2134, "final_energy_ry_per_atom": -0.524}